DFT (PBE) results for crystalline SrHoO2 at its relaxed geometry.

abc: 3.4998 3.4998 17.5525
angles: 90.00 90.00 120.00
Space group R-3m (No. 166, hexagonal axes)
One atom of each set of equivalent atoms:
1 Sr 0.0000 0.0000 0.0000 x3
2 Ho 0.0000 0.0000 0.5000 x3
3 O 0.0000 0.0000 0.2364 x6

Results
Excess energy over the best structure of this formula in the dataset ... 0 meV per atom
Formation energy (no corrections) ... -2.7677 eV/atom


DFT (PBE) results for crystalline SmZn2Pt at its relaxed geometry.

abc: 4.3344 4.3344 14.6087
angles: 90.00 90.00 120.00
Space group R-3m (No. 166, hexagonal axes)
One atom of each set of equivalent atoms:
1 Sm 0.0000 0.0000 0.0000 x3
2 Zn 0.0000 0.0000 0.2144 x6
3 Pt 0.0000 0.0000 0.5000 x3

Results
Calculated formation energy ... -0.59 eV per atom


DFT (PBE) results for crystalline Sm2NpAg3Se6 at its relaxed geometry.

abc: 17.868 4.260 7.979
angles: 90.00 98.12 90.00
Space group C2/m (No. 12)
One atom of each set of equivalent atoms:
1 Sm 0.167 0.000 0.339 x4
2 Np 0.000 0.500 0.000 x2
3 Ag 0.000 0.500 0.500 x2
4 Ag 0.157 0.000 0.854 x4
5 Se 0.001 0.000 0.251 x4
6 Se 0.166 0.500 0.086 x4
7 Se 0.168 0.500 0.593 x4

Results
Formation energy (no corrections) ... -1.0002 eV/atom


DFT (PBE) results for crystalline Pa2CuCl8 at its relaxed geometry.

abc: 13.322 6.409 8.148
angles: 90.00 102.58 90.00
Space group C2/m (No. 12)
One atom of each set of equivalent atoms:
1 Pa 0.107 0.000 0.445 x4
2 Cu 0.000 0.000 0.000 x2
3 Cl 0.061 0.246 0.697 x8
4 Cl 0.157 0.000 0.138 x4
5 Cl 0.192 0.500 0.406 x4

Results
Formation energy (no corrections) ... -1.4801 eV/atom


DFT (PBE) results for crystalline YFe2Ru at its relaxed geometry.

abc: 6.338 6.338 6.338
angles: 90.00 90.00 90.00
Space group F-43m (No. 216)
One atom of each set of equivalent atoms:
1 Y 0.000 0.000 0.000 x4
2 Fe 0.000 0.000 0.500 x4
3 Fe 0.250 0.250 0.750 x4
4 Ru 0.250 0.250 0.250 x4

Results
Calculated formation energy ... 0.21 eV per atom


DFT (PBE) results for crystalline GaPtF2 at its relaxed geometry.

abc: 2.7686 2.7686 24.6257
angles: 90.00 90.00 120.00
Space group R-3m (No. 166, hexagonal axes)
One atom of each set of equivalent atoms:
1 Ga 0.0000 0.0000 0.0000 x3
2 Pt 0.0000 0.0000 0.5000 x3
3 F 0.0000 0.0000 0.0775 x6

Results
Excess energy over the best structure of this formula in the dataset ... 301 meV per atom
Formation energy (no corrections) ... -0.7297 eV/atom


DFT (PBE) results for crystalline SmCdPd at its relaxed geometry.

abc: 10.937 4.777 5.378
angles: 90.00 98.49 90.00
Space group C2/m (No. 12)
One atom of each set of equivalent atoms:
1 Sm 0.125 0.000 0.302 x4
2 Cd 0.079 0.500 0.758 x4
3 Pd 0.222 0.000 0.831 x4

Results
Calculated formation energy ... -0.59 eV per atom


DFT (PBE) results for crystalline SrLaZr2 at its relaxed geometry.

abc: 3.490 4.871 7.373
angles: 90.00 90.00 90.00
Space group Pmmm (No. 47)
One atom of each set of equivalent atoms:
1 Sr 0.000 0.000 0.000 x1
2 La 0.000 0.000 0.500 x1
3 Zr 0.500 0.500 0.295 x2

Results
Calculated formation energy ... 0.42 eV per atom
Excess energy over the best structure of this formula in the dataset ... 181 meV per atom


DFT (PBE) results for crystalline Ta3Al2 at its relaxed geometry.

abc: 2.9122 2.9122 35.9710
angles: 90.00 90.00 120.00
Space group R-3m (No. 166, hexagonal axes)
One atom of each set of equivalent atoms:
1 Ta 0.0000 0.0000 0.0000 x3
2 Ta 0.0000 0.0000 0.2024 x6
3 Al 0.0000 0.0000 0.3984 x6

Results
Calculated formation energy ... 0.00 eV per atom


DFT (PBE) results for crystalline AcSmScZn at its relaxed geometry.

abc: 7.683 7.683 7.683
angles: 90.00 90.00 90.00
Space group F-43m (No. 216)
One atom of each set of equivalent atoms:
1 Ac 0.000 0.000 0.000 x4
2 Sm 0.250 0.250 0.750 x4
3 Sc 0.250 0.250 0.250 x4
4 Zn 0.000 0.000 0.500 x4

Results
Calculated formation energy ... 0.20 eV per atom


DFT (PBE) results for crystalline RbGa2H7 at its relaxed geometry.

abc: 5.253 14.507 3.728
angles: 90.00 90.00 90.00
Space group Cmmm (No. 65)
One atom of each set of equivalent atoms:
1 Rb 0.000 0.000 0.000 x2
2 Ga 0.000 0.381 0.500 x4
3 H 0.000 0.402 0.000 x4
4 H 0.000 0.500 0.500 x2
5 H 0.219 0.156 0.500 x8

Results
Uncorrected energy ... -3.00 eV per atom